# B2OsPd

An optimized crystal structure of B2OsPd (PBE, the Alexandria database).

Results
As for the density of states at the Fermi level: 0.002 states/eV per cell. For the formation energy, the calculation gives 0.3779 eV/atom. As for the space group: I-42d. For the final energy, the calculation gives -7.066 eV per atom.

a b c (Å): 4.7402 4.7402 5.8623
angles (deg): 66.15 66.15 90.00
Positions (direct):
Pd1 0.2500 0.7500 0.5000
B1 0.6441 0.1250 0.2500
B2 0.1059 0.6250 0.2500
B3 0.8750 0.8941 0.7500
B4 0.3750 0.3559 0.7500
Pd2 0.5000 0.5000 0.0000
Os1 0.7500 0.2500 0.5000
Os2 0.0000 0.0000 0.0000

***

# BaLiPrAu

An optimized crystal structure of BaLiPrAu (PBE, the Alexandria database).

Results
As for the density of states at the Fermi level: 3.961 states/eV per cell. For the formation energy, the calculation gives -0.2153 eV/atom. As for the space group: F-43m. For the final energy, the calculation gives -3.189 eV per atom.

a b c (Å): 5.5518 5.5518 5.5518
angles (deg): 60.00 60.00 60.00
Positions (direct):
Li1 0.5000 0.5000 0.5000
Pr1 0.2500 0.2500 0.2500
Ba1 0.7500 0.7500 0.7500
Au1 0.0000 0.0000 0.0000

***

# Ti3PPt

An optimized crystal structure of Ti3PPt (PBE, the Alexandria database).

Results
As for the density of states at the Fermi level: 4.698 states/eV per cell. For the formation energy, the calculation gives 0.3606 eV/atom. As for the space group: Pm-3m. For the final energy, the calculation gives -6.666 eV per atom.

a b c (Å): 4.7657 4.7657 4.7657
angles (deg): 90.00 90.00 90.00
Positions (direct):
Ti1 0.0000 0.0000 0.5000
Ti2 0.0000 0.5000 0.0000
P1 0.5000 0.5000 0.5000
Ti3 0.5000 0.0000 0.0000
Pt1 0.0000 0.0000 0.0000

***

# BiSe2BrCl

An optimized crystal structure of BiSe2BrCl (PBE, the Alexandria database).

Results
As for the density of states at the Fermi level: 5.007 states/eV per cell. The uncorrected formation energy is 348 meV/atom. As for the space group: P4/mmm. For the final energy, the calculation gives -2.526 eV per atom.

a b c (Å): 5.7295 5.7295 5.6070
angles (deg): 90.00 90.00 90.00
Positions (direct):
Se1 0.0000 0.5000 0.0000
Br1 0.0000 0.0000 0.5000
Bi1 0.0000 0.0000 0.0000
Cl1 0.5000 0.5000 0.5000
Se2 0.5000 0.0000 0.0000

***

What is the final energy in the first record?
-7.066 eV per atom

***

What did the second record say?
# BaLiPrAu

An optimized crystal structure of BaLiPrAu (PBE, the Alexandria database).

Results
As for the density of states at the Fermi level: 3.961 states/eV per cell. For the formation energy, the calculation gives -0.2153 eV/atom. As for the space group: F-43m. For the final energy, the calculation gives -3.189 eV per atom.

a b c (Å): 5.5518 5.5518 5.5518
angles (deg): 60.00 60.00 60.00
Positions (direct):
Li1 0.5000 0.5000 0.5000
Pr1 0.2500 0.2500 0.2500
Ba1 0.7500 0.7500 0.7500
Au1 0.0000 0.0000 0.0000